Tl2HgRu: relaxed, PBE.

## Properties
The uncorrected energy is -3.158 eV/atom. Its total moment is 0.000 μB per formula unit.

abc: 3.310 3.310 8.589
angles: 90.00 90.00 90.00
Space group P4/mmm (No. 123)
Symmetry-distinct sites (fractional):
Tl (0.000, 0.000, 0.194)
Hg (0.500, 0.500, 0.500)
Ru (0.500, 0.500, 0.000)